VASP calculation (PBE) on a geometry-optimized BeMoAs2S structure.

```
BeMoAs2S
1.0
4.1884 0.0000 0.0000
0.0000 4.9818 0.0000
0.0000 0.0000 4.1884
Mo Be S As
1 1 1 2
Direct
0.0000 0.5000 0.0000
0.0000 0.0000 0.0000
0.5000 0.5000 0.5000
0.0000 0.0000 0.5000
0.5000 0.0000 0.0000
```

Results
The density of states at the Fermi level is 2.88 states/eV/cell. As for the energy: -23.76 eV per cell.